A PBEsol-optimized structure of Na3NbTl, computed with SCAN.

Computed properties:
Symmetry   Pm-3m
ρ   3.5 g/cm3
Magnetic moment   4.344 Bohr magnetons per cell
Formation energy from the elements   0.97 eV per atom
Final energy   -22.65 eV per atom

```
Na3NbTl
1.0
5.574 0.000 0.000
0.000 5.574 0.000
0.000 0.000 5.574
Na Nb Tl
3 1 1
direct
0.000 0.000 0.500 Na
0.000 0.500 0.000 Na
0.500 0.000 0.000 Na
0.500 0.500 0.500 Nb
0.000 0.000 0.000 Tl
```

***

A PBEsol-optimized structure of MoBr2F, computed with SCAN.

Computed properties:
Symmetry   R-3m
ρ   5.8 g/cm3
E_form (uncorrected)   0.253 eV per atom
Magnetic moment   0.000 Bohr magnetons per cell
Final energy   -19.08 eV per atom

```
MoBr2F
1.0
1.657 0.956 8.267
-1.657 0.956 8.267
0.000 -1.913 8.267
Mo Br F
1 2 1
direct
0.000 0.000 0.000 Mo
0.093 0.093 0.093 Br
0.907 0.907 0.907 Br
0.500 0.500 0.500 F
```

***

A PBEsol-optimized structure of MnInPCl2, computed with SCAN.

Computed properties:
Symmetry   P4/mmm
ρ   3.5 g/cm3
E_form (uncorrected)   -0.028 eV per atom
Energy above the lowest structure with this stoichiometry   0.435 eV per atom
Magnetic moment   4.851 Bohr magnetons per cell
Final energy   -15.63 eV per atom

```
MnInPCl2
1.0
4.944 0.000 0.000
0.000 4.944 0.000
0.000 0.000 5.205
Mn In P Cl
1 1 1 2
direct
0.000 0.000 0.000 Mn
0.500 0.500 0.500 In
0.500 0.500 0.000 P
0.000 0.500 0.500 Cl
0.500 0.000 0.500 Cl
```